{
  "formula": "Fe2AsF",
  "functional": "PBE with a Hubbard U",
  "state": "optimized geometry",
  "lattice_angstrom": [[0.000, 3.067, 3.067], [3.067, 0.000, 3.067], [3.067, 3.067, 0.000]],
  "species": ["As", "Fe", "Fe", "F"],
  "fractional_positions": [[0.500, 0.500, 0.500], [0.250, 0.250, 0.250], [0.750, 0.750, 0.750], [0.000, 0.000, 0.000]],
  "space_group": "Fm-3m (225)",
  "polymorph_energy_kj_per_mol_fu": 71,
  "dos_ef_per_ev_cell": 1.64,
  "energy_ev_per_atom": -4.66,
  "total_magnetization_mub_per_fu": 7.7
}